DFT (meta-GGA SCAN) results for ZnAgTe2 at its PBEsol-relaxed geometry.

a = 7.1811 Å, b = 3.9910 Å, c = 6.9175 Å
α = 90.00°, β = 109.97°, γ = 90.00°
Closest atoms and distances in Å follow each position.
Space group C2/m (No. 12)
Unique sites:
Zn: 0.0000 0.0000 0.0000  6 Te 2.74-3.02
Ag: 0.0000 0.5000 0.5000  6 Te 2.76-2.95
Te: 0.2222 0.5000 0.2431  3 Zn 2.74-3.02, 3 Ag 2.76-2.95

- Uncorrected energy: -29.934 eV per atom
- Energy relative to the elements, uncorrected: -87 meV/atom
- E above lowest polymorph: 94 meV per atom